A geometry-optimized NaSiMoO6 structure. Source: Alexandria, functional PBE+U.

a b c (Å): 5.0141 5.0141 5.1556
angles (deg): 90.00 90.00 120.00
Space group P312 (No. 149)
Inequivalent atoms, fractional coordinates:
Na (0.0000, 0.0000, 0.0000) (multiplicity 1)
Si (0.6667, 0.3333, 0.5000) (multiplicity 1)
Mo (0.3333, 0.6667, 0.5000) (multiplicity 1)
O (0.3914, 0.0224, 0.6975) (multiplicity 6)

Values from the calculation:
Spin magnetization, Bohr magnetons per cell: 1.06
Mass density, g/cm3: 3.595
E, eV per atom: -6.5584